# NaBe2B

Crystalline NaBe2B at its relaxed geometry (PBE, Alexandria).

Unit cell a=4.744 b=4.744 c=10.727 alpha=90.00 beta=90.00 gamma=90.00
Fractional coordinates of all 16 atoms:
Na 0.000 0.250 0.375
Na 0.000 0.750 0.625
Na 0.500 0.250 0.125
Na 0.500 0.750 0.875
Be 0.000 0.000 0.000
Be 0.000 0.500 0.000
Be 0.250 0.250 0.750
Be 0.250 0.750 0.250
Be 0.500 0.000 0.500
Be 0.500 0.500 0.500
Be 0.750 0.250 0.750
Be 0.750 0.750 0.250
B 0.000 0.250 0.875
B 0.000 0.750 0.125
B 0.500 0.250 0.625
B 0.500 0.750 0.375

Values from the calculation:
DOS at the Fermi energy, states/eV/f.u.: 0.122
Electronic total energy, eV/atom: -3.432
ΔE_f, eV per atom: 0.430